Below is a relaxed Ce2PrSmS4 crystal, with properties calculated at the PBE-GGA level.

The calculation puts the uncorrected formation energy at -2.036 eV/atom. As for the space-group type: No. 10. The total DFT energy (no corrections) comes out at -54.16 eV for the cell shown.

Lattice parameters (Å, degrees): 7.0077 4.0367 7.0088 90.00 109.41 90.00
Last column: nearest neighbours and their distance in Å.
Fractional coordinates of all 8 atoms:
Ce (0.0000, 0.0000, 0.0000)  6 S 2.87
Ce (0.5000, 0.5000, 0.0000)  6 S 2.84
Pr (0.0000, 0.5000, 0.5000)  6 S 2.88
Sm (0.5000, 0.0000, 0.5000)  6 S 2.85
S (0.2538, 0.5000, 0.2497)  3 Ce 2.84-2.87, 2 Sm 2.85, 1 Pr 2.88
S (0.2550, 0.0000, 0.7533)  3 Ce 2.84-2.87, 1 Sm 2.85, 2 Pr 2.88
S (0.7450, 0.0000, 0.2467)  3 Ce 2.84-2.87, 1 Sm 2.85, 2 Pr 2.88
S (0.7462, 0.5000, 0.7503)  3 Ce 2.84-2.87, 2 Sm 2.85, 1 Pr 2.88

***

Below is a relaxed CePr4Sm3S8 crystal, with properties calculated at the PBE-GGA level.

The calculation puts the uncorrected formation energy at -2.028 eV/atom. As for the space-group type: No. 166. The total DFT energy (no corrections) comes out at -104.68 eV for the cell shown.

Lattice parameters (Å, degrees): 8.1265 8.1265 8.1265 59.86 59.86 59.86
Last column: nearest neighbours and their distance in Å.
Fractional coordinates of all 16 atoms:
Ce (0.0000, 0.0000, 0.0000)  6 S 2.84
Pr (0.0000, 0.0000, 0.5000)  6 S 2.90
Pr (0.0000, 0.5000, 0.0000)  6 S 2.90
Pr (0.5000, 0.0000, 0.0000)  6 S 2.90
Pr (0.5000, 0.5000, 0.5000)  6 S 2.91
Sm (0.0000, 0.5000, 0.5000)  6 S 2.84
Sm (0.5000, 0.0000, 0.5000)  6 S 2.84
Sm (0.5000, 0.5000, 0.0000)  6 S 2.84
S (0.2470, 0.2470, 0.7472)  1 Ce 2.84, 2 Sm 2.84, 3 Pr 2.90-2.91
S (0.2470, 0.7472, 0.2470)  1 Ce 2.84, 2 Sm 2.84, 3 Pr 2.90-2.91
S (0.2530, 0.2530, 0.2530)  3 Sm 2.84, 3 Pr 2.90
S (0.2528, 0.7530, 0.7530)  1 Ce 2.84, 2 Sm 2.84, 3 Pr 2.90-2.91
S (0.7472, 0.2470, 0.2470)  1 Ce 2.84, 2 Sm 2.84, 3 Pr 2.90-2.91
S (0.7470, 0.7470, 0.7470)  3 Sm 2.84, 3 Pr 2.90
S (0.7530, 0.2528, 0.7530)  1 Ce 2.84, 2 Sm 2.84, 3 Pr 2.90-2.91
S (0.7530, 0.7530, 0.2528)  1 Ce 2.84, 2 Sm 2.84, 3 Pr 2.90-2.91

***

Below is a relaxed Ce4Pr3SmS8 crystal, with properties calculated at the PBE-GGA level.

The calculation puts the uncorrected formation energy at -2.036 eV/atom. As for the space-group type: No. 166. The total DFT energy (no corrections) comes out at -108.38 eV for the cell shown.

Lattice parameters (Å, degrees): 8.1093 8.1093 8.1093 60.02 60.02 60.02
Last column: nearest neighbours and their distance in Å.
Fractional coordinates of all 16 atoms:
Ce (0.0000, 0.0000, 0.0000)  6 S 2.88
Ce (0.0000, 0.5000, 0.5000)  6 S 2.84
Ce (0.5000, 0.0000, 0.5000)  6 S 2.84
Ce (0.5000, 0.5000, 0.0000)  6 S 2.84
Pr (0.0000, 0.0000, 0.5000)  6 S 2.89
Pr (0.0000, 0.5000, 0.0000)  6 S 2.89
Pr (0.5000, 0.0000, 0.0000)  6 S 2.89
Sm (0.5000, 0.5000, 0.5000)  6 S 2.86
S (0.2509, 0.2509, 0.7449)  3 Ce 2.84-2.88, 1 Sm 2.86, 2 Pr 2.89
S (0.2509, 0.7449, 0.2509)  3 Ce 2.84-2.88, 1 Sm 2.86, 2 Pr 2.89
S (0.2521, 0.2521, 0.2521)  3 Ce 2.84, 3 Pr 2.89
S (0.2551, 0.7491, 0.7491)  3 Ce 2.84-2.88, 1 Sm 2.86, 2 Pr 2.89
S (0.7449, 0.2509, 0.2509)  3 Ce 2.84-2.88, 1 Sm 2.86, 2 Pr 2.89
S (0.7479, 0.7479, 0.7479)  3 Ce 2.84, 3 Pr 2.89
S (0.7491, 0.2551, 0.7491)  3 Ce 2.84-2.88, 1 Sm 2.86, 2 Pr 2.89
S (0.7491, 0.7491, 0.2551)  3 Ce 2.84-2.88, 1 Sm 2.86, 2 Pr 2.89

***

Below is a relaxed Ce2PrSm3S6 crystal, with properties calculated at the PBE-GGA level.

The calculation puts the uncorrected formation energy at -2.037 eV/atom. As for the space-group type: No. 12. The total DFT energy (no corrections) comes out at -80.01 eV for the cell shown.

Lattice parameters (Å, degrees): 6.9725 6.9725 7.0017 99.57 99.57 120.05
Last column: nearest neighbours and their distance in Å.
Fractional coordinates of all 12 atoms:
Ce (0.1665, 0.8335, 0.0000)  6 S 2.85-2.86
Ce (0.8335, 0.1665, 0.0000)  6 S 2.85-2.86
Pr (0.5000, 0.5000, 0.0000)  6 S 2.88-2.89
Sm (0.0000, 0.0000, 0.5000)  6 S 2.82-2.84
Sm (0.3364, 0.6636, 0.5000)  6 S 2.83-2.84
Sm (0.6636, 0.3364, 0.5000)  6 S 2.83-2.84
S (0.0775, 0.4151, 0.7450)  3 Sm 2.83-2.84, 2 Ce 2.86, 1 Pr 2.89
S (0.2465, 0.2465, 0.2522)  3 Sm 2.82-2.83, 2 Ce 2.85, 1 Pr 2.88
S (0.4151, 0.0775, 0.7450)  3 Sm 2.83-2.84, 2 Ce 2.86, 1 Pr 2.89
S (0.5849, 0.9225, 0.2550)  3 Sm 2.83-2.84, 2 Ce 2.86, 1 Pr 2.89
S (0.7535, 0.7535, 0.7478)  3 Sm 2.82-2.83, 2 Ce 2.85, 1 Pr 2.88
S (0.9225, 0.5849, 0.2550)  3 Sm 2.83-2.84, 2 Ce 2.86, 1 Pr 2.89

***

Below is a relaxed Ce3PrSm4S8 crystal, with properties calculated at the PBE-GGA level.

The calculation puts the uncorrected formation energy at -2.037 eV/atom. As for the space-group type: No. 166. The total DFT energy (no corrections) comes out at -107.06 eV for the cell shown.

Lattice parameters (Å, degrees): 8.0587 8.0587 8.0587 59.94 59.94 59.94
Last column: nearest neighbours and their distance in Å.
Fractional coordinates of all 16 atoms:
Ce (0.0000, 0.5000, 0.5000)  6 S 2.85-2.86
Ce (0.5000, 0.0000, 0.5000)  6 S 2.85-2.86
Ce (0.5000, 0.5000, 0.0000)  6 S 2.85-2.86
Pr (0.0000, 0.0000, 0.0000)  6 S 2.88
Sm (0.0000, 0.0000, 0.5000)  6 S 2.84
Sm (0.0000, 0.5000, 0.0000)  6 S 2.84
Sm (0.5000, 0.0000, 0.0000)  6 S 2.84
Sm (0.5000, 0.5000, 0.5000)  6 S 2.82
S (0.2493, 0.2493, 0.2493)  3 Sm 2.84, 3 Ce 2.86
S (0.2517, 0.7472, 0.7472)  3 Sm 2.82-2.84, 2 Ce 2.85, 1 Pr 2.88
S (0.2528, 0.2528, 0.7483)  3 Sm 2.82-2.84, 2 Ce 2.85, 1 Pr 2.88
S (0.2528, 0.7483, 0.2528)  3 Sm 2.82-2.84, 2 Ce 2.85, 1 Pr 2.88
S (0.7472, 0.2517, 0.7472)  3 Sm 2.82-2.84, 2 Ce 2.85, 1 Pr 2.88
S (0.7472, 0.7472, 0.2517)  3 Sm 2.82-2.84, 2 Ce 2.85, 1 Pr 2.88
S (0.7483, 0.2528, 0.2528)  3 Sm 2.82-2.84, 2 Ce 2.85, 1 Pr 2.88
S (0.7507, 0.7507, 0.7507)  3 Sm 2.84, 3 Ce 2.86

***

Below is a relaxed CePrSm2S4 crystal, with properties calculated at the PBE-GGA level.

The calculation puts the uncorrected formation energy at -2.033 eV/atom. As for the space-group type: No. 10. The total DFT energy (no corrections) comes out at -52.92 eV for the cell shown.

Lattice parameters (Å, degrees): 6.9915 4.0218 7.0153 90.00 109.29 90.00
Last column: nearest neighbours and their distance in Å.
Fractional coordinates of all 8 atoms:
Ce (0.0000, 0.0000, 0.0000)  6 S 2.86
Pr (0.5000, 0.5000, 0.0000)  6 S 2.89
Sm (0.0000, 0.5000, 0.5000)  6 S 2.82
Sm (0.5000, 0.0000, 0.5000)  6 S 2.85
S (0.2448, 0.0000, 0.7438)  3 Sm 2.82-2.85, 1 Ce 2.86, 2 Pr 2.89
S (0.2484, 0.5000, 0.2540)  3 Sm 2.82-2.85, 2 Ce 2.86, 1 Pr 2.89
S (0.7516, 0.5000, 0.7460)  3 Sm 2.82-2.85, 2 Ce 2.86, 1 Pr 2.89
S (0.7552, 0.0000, 0.2562)  3 Sm 2.82-2.85, 1 Ce 2.86, 2 Pr 2.89